The following is a DFT calculation (PBE-GGA) of a geometry-optimized K4P5 structure.

**Density of states at the Fermi level**: 13.354 states/eV/cell
**Calculated formation energy**: 0.581 eV/atom
**Distance to the lowest polymorph of the same formula**: 585 meV per atom
**Volume**: 222.2 Å³/f.u.
**VASP energy**: -2.912 eV per atom
**Calculated density**: 2.33 g cm⁻³

a = 8.9462 Å, b = 8.9462 Å, c = 6.4105 Å
α = 90.00°, β = 90.00°, γ = 120.00°
Space group P6_3/mcm (No. 193)
One atom of each set of equivalent atoms:
K 0.0000 0.0000 0.0000 [2 per cell]
K 0.0000 0.3320 0.2500 [6 per cell]
P 0.0000 0.3513 0.7500 [6 per cell]
P 0.3333 0.6667 0.0000 [4 per cell]